Computed, not measured: a geometry-optimized Rb3HgF6 structure at the PBE level of DFT.

Output
The value obtained for the excess energy over the best structure of this formula in the dataset is 34 meV/atom. The total DFT energy (no corrections) is -3.513 eV/atom. Its space group is I4/m.

Lattice parameters (Å, degrees): 6.4832 6.4832 6.4832 122.68 122.68 85.42
Last column: nearest neighbours and their distance in Å.
Fractional positions:
F 0.7643 0.7643 0.0000  1 Hg 2.25
F 0.6804 0.1286 0.8090  1 Hg 2.14
F 0.3196 0.8714 0.1910  1 Hg 2.14
F 0.1286 0.3196 0.4482  1 Hg 2.14
F 0.8714 0.6804 0.5518  1 Hg 2.14
F 0.2357 0.2357 0.0000  1 Hg 2.25
Hg 0.0000 0.0000 0.0000  6 F 2.14-2.25
Rb 0.2500 0.7500 0.5000  4 F 2.75
Rb 0.5000 0.5000 0.0000  6 F 2.52-2.57
Rb 0.7500 0.2500 0.5000  4 F 2.75



Computed, not measured: a geometry-optimized RbHg4F12 structure at the PBE level of DFT.

Output
The total DFT energy (no corrections) is -2.816 eV/atom. Its space group is Im-3.

Lattice parameters (Å, degrees): 7.4320 7.4320 7.4320 109.47 109.47 109.47
Last column: nearest neighbours and their distance in Å.
Fractional positions:
F 0.5179 0.7601 0.7579  2 Hg 2.15
F 0.0022 0.7601 0.2421  2 Hg 2.15
F 0.7601 0.2421 0.0022  2 Hg 2.15
F 0.2421 0.0022 0.7601  2 Hg 2.15
F 0.2399 0.7579 0.9978  2 Hg 2.15
F 0.7579 0.9978 0.2399  2 Hg 2.15
F 0.7601 0.7579 0.5179  2 Hg 2.15
F 0.4821 0.2399 0.2421  2 Hg 2.15
F 0.9978 0.2399 0.7579  2 Hg 2.15
F 0.2399 0.2421 0.4821  2 Hg 2.15
F 0.2421 0.4821 0.2399  2 Hg 2.15
F 0.7579 0.5179 0.7601  2 Hg 2.15
Hg 0.5000 0.0000 0.0000  6 F 2.15
Hg 0.5000 0.5000 0.5000  6 F 2.15
Hg 0.0000 0.5000 0.0000  6 F 2.15
Hg 0.0000 0.0000 0.5000  6 F 2.15
Rb 0.0000 0.0000 0.0000  12 F 2.93



Computed, not measured: a geometry-optimized Rb2ZnHgF6 structure at the PBE level of DFT.

Output
The value obtained for the excess energy over the best structure of this formula in the dataset is 0 meV/atom. The total DFT energy (no corrections) is -3.691 eV/atom. Its space group is R3.

Lattice parameters (Å, degrees): 6.0289 6.0289 6.0289 59.02 59.02 59.02
Last column: nearest neighbours and their distance in Å.
Fractional positions:
F 0.2396 0.7955 0.7349  1 Zn 1.99
F 0.7955 0.7349 0.2396  1 Zn 1.99
F 0.7624 0.2040 0.2657  1 Zn 2.00
F 0.7349 0.2396 0.7955  1 Zn 1.99
F 0.2657 0.7624 0.2040  1 Zn 2.00
F 0.2040 0.2657 0.7624  1 Zn 2.00
Zn 0.0000 0.0000 0.0000  6 F 1.99-2.00
Hg 0.4999 0.4999 0.4999  6 F 2.25
Rb 0.2495 0.2495 0.2495  9 F 2.79-3.04
Rb 0.7505 0.7505 0.7505  9 F 2.79-3.05



Computed, not measured: a geometry-optimized Rb2ZnHgF6 structure at the PBE level of DFT.

Output
The value obtained for the excess energy over the best structure of this formula in the dataset is 10 meV/atom. The total DFT energy (no corrections) is -3.682 eV/atom. Its space group is P-31c.

Lattice parameters (Å, degrees): 5.8978 5.8978 11.3628 90.00 90.00 120.00
Last column: nearest neighbours and their distance in Å.
Fractional positions:
F 0.6352 0.7428 0.8627  1 Zn 2.05
F 0.7428 0.1076 0.1373  1 Zn 2.05
F 0.8924 0.6352 0.1373  1 Zn 2.05
F 0.3648 0.1076 0.3627  1 Zn 2.05
F 0.1076 0.3648 0.8627  1 Zn 2.05
F 0.2572 0.3648 0.6373  1 Zn 2.05
F 0.8924 0.2572 0.3627  1 Zn 2.05
F 0.1076 0.7428 0.6373  1 Zn 2.05
F 0.6352 0.8924 0.6373  1 Zn 2.05
F 0.7428 0.6352 0.3627  1 Zn 2.05
F 0.2572 0.8924 0.8627  1 Zn 2.05
F 0.3648 0.2572 0.1373  1 Zn 2.05
Hg 0.0000 0.0000 0.7500  6 F 2.30
Hg 0.0000 0.0000 0.2500  6 F 2.30
Rb 0.3333 0.6667 0.4375  6 F 2.65-2.78
Rb 0.6667 0.3333 0.5625  6 F 2.65-2.78
Rb 0.6667 0.3333 0.9375  6 F 2.65-2.78
Rb 0.3333 0.6667 0.0625  6 F 2.65-2.78
Zn 0.3333 0.6667 0.7500  6 F 2.05
Zn 0.6667 0.3333 0.2500  6 F 2.05



Computed, not measured: a geometry-optimized Tl2ReHgF6 structure at the PBE level of DFT.

Output
The total magnetic moment comes out at 0.3000 μB/atom. The total DFT energy (no corrections) is -4.499 eV/atom. Its space group is Fm-3m.

Lattice parameters (Å, degrees): 6.4275 6.4275 6.4275 60.00 60.00 60.00
Last column: nearest neighbours and their distance in Å.
Fractional positions:
F 0.2156 0.7844 0.7844  1 Re 1.96
F 0.2156 0.2156 0.7844  1 Re 1.96
F 0.7844 0.2156 0.7844  1 Re 1.96
F 0.2156 0.7844 0.2156  1 Re 1.96
F 0.7844 0.7844 0.2156  1 Re 1.96
F 0.7844 0.2156 0.2156  1 Re 1.96
Tl 0.7500 0.7500 0.7500  12 F 3.23
Tl 0.2500 0.2500 0.2500  12 F 3.23
Hg 0.5000 0.5000 0.5000  6 F 2.59
Re 0.0000 0.0000 0.0000  6 F 1.96



Computed, not measured: a geometry-optimized Hg2Sb2F structure at the PBE level of DFT.

Output
The total DFT energy (no corrections) is -2.372 eV/atom. Its space group is P6_3/mmc.

Lattice parameters (Å, degrees): 4.2561 4.2561 15.4435 90.00 90.00 120.00
Last column: nearest neighbours and their distance in Å.
Fractional positions:
Hg 0.3333 0.6667 0.4433  3 Sb 2.88, 3 Hg 3.02
Hg 0.6667 0.3333 0.5567  3 Sb 2.88, 3 Hg 3.02
Hg 0.6667 0.3333 0.9433  3 Sb 2.88, 3 Hg 3.02
Hg 0.3333 0.6667 0.0567  3 Sb 2.88, 3 Hg 3.02
Sb 0.3333 0.6667 0.8457  3 F 2.87, 3 Hg 2.88, 1 Sb 2.96
Sb 0.3333 0.6667 0.6543  3 F 2.87, 3 Hg 2.88, 1 Sb 2.96
Sb 0.6667 0.3333 0.3457  3 F 2.87, 3 Hg 2.88, 1 Sb 2.96
Sb 0.6667 0.3333 0.1543  3 F 2.87, 3 Hg 2.88, 1 Sb 2.96
F 0.0000 0.0000 0.2500  6 Sb 2.87
F 0.0000 0.0000 0.7500  6 Sb 2.87



Repeat the sixth record exactly.
Computed, not measured: a geometry-optimized Hg2Sb2F structure at the PBE level of DFT.

Output
The total DFT energy (no corrections) is -2.372 eV/atom. Its space group is P6_3/mmc.

Lattice parameters (Å, degrees): 4.2561 4.2561 15.4435 90.00 90.00 120.00
Last column: nearest neighbours and their distance in Å.
Fractional positions:
Hg 0.3333 0.6667 0.4433  3 Sb 2.88, 3 Hg 3.02
Hg 0.6667 0.3333 0.5567  3 Sb 2.88, 3 Hg 3.02
Hg 0.6667 0.3333 0.9433  3 Sb 2.88, 3 Hg 3.02
Hg 0.3333 0.6667 0.0567  3 Sb 2.88, 3 Hg 3.02
Sb 0.3333 0.6667 0.8457  3 F 2.87, 3 Hg 2.88, 1 Sb 2.96
Sb 0.3333 0.6667 0.6543  3 F 2.87, 3 Hg 2.88, 1 Sb 2.96
Sb 0.6667 0.3333 0.3457  3 F 2.87, 3 Hg 2.88, 1 Sb 2.96
Sb 0.6667 0.3333 0.1543  3 F 2.87, 3 Hg 2.88, 1 Sb 2.96
F 0.0000 0.0000 0.2500  6 Sb 2.87
F 0.0000 0.0000 0.7500  6 Sb 2.87